Record 1
A geometry-optimized Pr2TmGa3Pd4 structure, computed with PBE.

Unit cell a=4.304 b=4.304 c=11.267 alpha=90.00 beta=90.00 gamma=90.00
Element x y z (fractional)
Pr (0.000, 0.500, 0.228)
Pr (0.500, 0.000, 0.772)
Tm (0.000, 0.000, 0.500)
Ga (0.000, 0.500, 0.879)
Ga (0.500, 0.000, 0.121)
Ga (0.500, 0.500, 0.500)
Pd (0.000, 0.000, 0.000)
Pd (0.000, 0.500, 0.654)
Pd (0.500, 0.000, 0.346)
Pd (0.500, 0.500, 0.000)

Computed properties:
SG ... No. 115
DFT formation energy ... -778.0 kJ/mol of formula units
Final energy ... -51.95 eV/cell
Spin magnetization ... 0.00 μB/f.u.
Density ... 8.64 Mg/m³


Record 2
A geometry-optimized BaTcRh structure, computed with PBE.

Unit cell a=4.261 b=4.261 c=11.059 alpha=90.11 beta=100.91 gamma=119.99
Element x y z (fractional)
Ba (0.000, 0.000, 0.000)
Ba (0.400, 0.204, 0.610)
Tc (0.200, 0.102, 0.305)
Tc (0.534, 0.769, 0.305)
Rh (0.784, 0.393, 0.180)
Rh (0.949, 0.477, 0.430)

Computed properties:
SG ... No. 1
DFT formation energy ... 18.8 kJ/mol of formula units
Final energy ... -38.89 eV/cell
Spin magnetization ... 0.00 μB/f.u.
Density ... 6.62 Mg/m³


Record 3
A geometry-optimized In2NiAg structure, computed with PBE.

Unit cell a=4.693 b=4.693 c=4.693 alpha=60.00 beta=60.00 gamma=60.00
Element x y z (fractional)
In (0.250, 0.250, 0.250)
In (0.750, 0.750, 0.750)
Ni (0.000, 0.000, 0.000)
Ag (0.500, 0.500, 0.500)

Computed properties:
SG ... No. 225
DFT formation energy ... 21.8 kJ/mol of formula units
Final energy ... -13.88 eV/cell
Spin magnetization ... 0.00 μB/f.u.
Density ... 9.00 Mg/m³


Record 4
A geometry-optimized Ba2CdAu structure, computed with PBE.

Unit cell a=4.907 b=4.907 c=6.965 alpha=90.00 beta=90.00 gamma=90.00
Element x y z (fractional)
Ba (0.000, 0.000, 0.000)
Ba (0.500, 0.500, 0.494)
Cd (0.000, 0.000, 0.501)
Au (0.500, 0.500, 0.996)

Computed properties:
SG ... No. 99
DFT formation energy ... -148.5 kJ/mol of formula units
Final energy ... -9.58 eV/cell
Spin magnetization ... 0.00 μB/f.u.
Density ... 5.78 Mg/m³


Record 5
A geometry-optimized Pm7Ho2Tm3 structure, computed with PBE.

Unit cell a=19.194 b=19.194 c=3.616 alpha=90.00 beta=90.00 gamma=162.75
Element x y z (fractional)
Pm (0.000, 0.000, 0.000)
Pm (0.073, 0.927, 0.500)
Pm (0.232, 0.768, 0.000)
Pm (0.407, 0.593, 0.000)
Pm (0.593, 0.407, 0.000)
Pm (0.768, 0.232, 0.000)
Pm (0.927, 0.073, 0.500)
Ho (0.149, 0.851, 0.000)
Ho (0.851, 0.149, 0.000)
Tm (0.315, 0.685, 0.500)
Tm (0.500, 0.500, 0.500)
Tm (0.685, 0.315, 0.500)

Computed properties:
SG ... No. 65
DFT formation energy ... 136.2 kJ/mol of formula units
Final energy ... -54.41 eV/cell
Spin magnetization ... 0.00 μB/f.u.
Density ... 7.78 Mg/m³


Record 6
A geometry-optimized Nd6Si2Bi structure, computed with PBE.

Unit cell a=8.839 b=8.839 c=8.839 alpha=113.08 beta=111.06 gamma=104.40
Element x y z (fractional)
Nd (0.029, 0.242, 0.788)
Nd (0.192, 0.279, 0.471)
Nd (0.192, 0.721, 0.912)
Nd (0.319, 0.022, 0.704)
Nd (0.319, 0.615, 0.296)
Nd (0.454, 0.242, 0.212)
Nd (0.546, 0.758, 0.788)
Nd (0.681, 0.385, 0.704)
Nd (0.681, 0.978, 0.296)
Nd (0.808, 0.279, 0.088)
Nd (0.808, 0.721, 0.529)
Nd (0.971, 0.758, 0.212)
Si (0.111, 0.611, 0.500)
Si (0.377, 0.000, 0.377)
Si (0.623, 0.000, 0.623)
Si (0.889, 0.389, 0.500)
Bi (0.000, 0.000, 0.000)
Bi (0.500, 0.500, 0.000)

Computed properties:
SG ... No. 71
Final energy ... -96.73 eV/cell
E_form (uncorrected) ... -0.559 eV/atom
Spin magnetization ... 0.00 μB/f.u.
Density ... 7.11 Mg/m³


Record 7
A geometry-optimized Sm2PaN3 structure, computed with PBE.

Unit cell a=6.130 b=6.130 c=3.629 alpha=90.00 beta=90.00 gamma=131.03
Element x y z (fractional)
Sm (0.153, 0.847, 0.000)
Sm (0.847, 0.153, 0.000)
Pa (0.500, 0.500, 0.500)
N (0.000, 0.000, 0.500)
N (0.370, 0.630, 0.000)
N (0.630, 0.370, 0.000)

Computed properties:
SG ... No. 65
Final energy ... -52.75 eV/cell
E_form (uncorrected) ... -1.473 eV/atom
Spin magnetization ... 0.00 μB/f.u.
Density ... 9.26 Mg/m³


Record 8
A geometry-optimized InTe structure, computed with PBE.

Unit cell a=6.235 b=6.243 c=3.197 alpha=90.00 beta=90.00 gamma=90.00
Element x y z (fractional)
In (0.250, 0.250, 0.005)
In (0.750, 0.750, 0.995)
Te (0.250, 0.750, 0.203)
Te (0.750, 0.250, 0.797)

Computed properties:
SG ... No. 59
Final energy ... -12.33 eV/cell
E_form (uncorrected) ... -0.143 eV/atom
Spin magnetization ... 0.00 μB/f.u.
Density ... 6.47 Mg/m³